[1]
A relaxed structure of ZnPb3O. Source: Alexandria via LeMat-Bulk, functional PBE.

Lattice parameters (Å, degrees): 5.299 5.299 5.299 90.00 90.00 90.00
Atoms (fractional coordinates):
Pb  0.000  0.500  0.000
Pb  0.000  0.000  0.500
Pb  0.500  0.000  0.000
Zn  0.000  0.000  0.000
O  0.500  0.500  0.500

Raw formation energy: 0.636 eV per atom
Density of states at the Fermi level: 3.19 states/eV/f.u.
Theoretical density: 7.848 g/cm3
Excess energy over the best structure of this formula in the dataset: 780 meV per atom
Total energy: -14.178 eV for the cell shown
Total magnetic moment: 0.00 μB per formula unit

[2]
A relaxed structure of ZnPbO2. Source: Alexandria via LeMat-Bulk, functional PBE.

Lattice parameters (Å, degrees): 6.689 6.689 6.689 27.79 27.79 27.79
Atoms (fractional coordinates):
Pb  0.000  0.000  0.000
Zn  0.500  0.500  0.500
O  0.887  0.887  0.887
O  0.113  0.113  0.113

Raw formation energy: -0.752 eV per atom
Density of states at the Fermi level: 1.44 states/eV/f.u.
Theoretical density: 8.806 g/cm3
Excess energy over the best structure of this formula in the dataset: 472 meV per atom
Total energy: -17.908 eV for the cell shown
Total magnetic moment: 0.00 μB per formula unit

[3]
A relaxed structure of ZnPbO2. Source: Alexandria via LeMat-Bulk, functional PBE.

Lattice parameters (Å, degrees): 3.460 4.334 9.487 89.99 89.90 90.00
Atoms (fractional coordinates):
Zn  0.201  0.852  0.192
Zn  0.701  0.352  0.024
Pb  0.202  0.894  0.792
Pb  0.700  0.394  0.424
O  0.701  0.604  0.200
O  0.702  0.583  0.845
O  0.200  0.083  0.371
O  0.201  0.104  0.016

Raw formation energy: -1.225 eV per atom
Density of states at the Fermi level: 0.00 states/eV/f.u.
Theoretical density: 7.112 g/cm3
Excess energy over the best structure of this formula in the dataset: 0 meV per atom
Total energy: -39.597 eV for the cell shown
Total magnetic moment: 0.00 μB per formula unit

[4]
A relaxed structure of ZnPbO2. Source: Alexandria via LeMat-Bulk, functional PBE.

Lattice parameters (Å, degrees): 5.198 5.198 6.145 64.98 64.98 90.00
Atoms (fractional coordinates):
Pb  0.000  0.000  0.000
Pb  0.750  0.250  0.500
Zn  0.500  0.500  0.000
Zn  0.250  0.750  0.500
O  0.557  0.125  0.250
O  0.193  0.625  0.250
O  0.375  0.443  0.750
O  0.875  0.807  0.750

Raw formation energy: -1.125 eV per atom
Density of states at the Fermi level: 0.00 states/eV/f.u.
Theoretical density: 7.603 g/cm3
Excess energy over the best structure of this formula in the dataset: 100 meV per atom
Total energy: -38.797 eV for the cell shown
Total magnetic moment: 0.00 μB per formula unit